CdSi2Bi2: relaxed, GGA-PBE.

Unit cell a=8.0615 b=8.0615 c=3.8193 alpha=90.00 beta=90.00 gamma=90.00
Last column: nearest neighbours and their distance in Å.
Element x y z (fractional)
Cd  0.0000  0.0000  0.0000  4 Si 3.27, 8 Bi 3.53
Cd  0.5000  0.5000  0.0000  4 Si 3.27, 8 Bi 3.53
Bi  0.3223  0.1777  0.5000  6 Si 3.05-3.09
Bi  0.1777  0.6777  0.5000  6 Si 3.05-3.09
Bi  0.6777  0.8223  0.5000  6 Si 3.05-3.09
Bi  0.8223  0.3223  0.5000  6 Si 3.05-3.09
Si  0.6098  0.1098  0.0000  1 Si 2.50
Si  0.1098  0.3902  0.0000  1 Si 2.50
Si  0.3902  0.8902  0.0000  1 Si 2.50
Si  0.8902  0.6098  0.0000  1 Si 2.50

ΔE to the lowest computed polymorph   0 meV per atom
Uncorrected energy   -3.481 eV/atom
Formation energy (no corrections)   2.12 eV/f.u.
Crystal system   tetragonal
Space group   P4/mbm, No. 127
Spin magnetization   0.00 μB/f.u.



Cd2SiBi: relaxed, GGA-PBE.

Unit cell a=5.1603 b=5.1603 c=5.1603 alpha=60.00 beta=60.00 gamma=60.00
Last column: nearest neighbours and their distance in Å.
Element x y z (fractional)
Si  0.0000  0.0000  0.0000  8 Cd 3.16
Cd  0.2500  0.2500  0.2500  4 Bi 3.16, 4 Si 3.16
Cd  0.7500  0.7500  0.7500  4 Bi 3.16, 4 Si 3.16
Bi  0.5000  0.5000  0.5000  8 Cd 3.16

ΔE to the lowest computed polymorph   95 meV per atom
Uncorrected energy   -2.376 eV/atom
Formation energy (no corrections)   1.63 eV/f.u.
Crystal system   cubic
Space group   Fm-3m, No. 225
Spin magnetization   0.00 μB/f.u.



CdSiBi3: relaxed, GGA-PBE.

Unit cell a=5.6188 b=5.6188 c=5.6188 alpha=90.00 beta=90.00 gamma=90.00
Last column: nearest neighbours and their distance in Å.
Element x y z (fractional)
Si  0.5000  0.5000  0.5000  12 Bi 3.97
Cd  0.0000  0.0000  0.0000  6 Bi 2.81
Bi  0.5000  0.0000  0.0000  2 Cd 2.81
Bi  0.0000  0.5000  0.0000  2 Cd 2.81
Bi  0.0000  0.0000  0.5000  2 Cd 2.81

ΔE to the lowest computed polymorph   431 meV per atom
Uncorrected energy   -2.582 eV/atom
Formation energy (no corrections)   5.07 eV/f.u.
Crystal system   cubic
Space group   Pm-3m, No. 221
Spin magnetization   0.00 μB/f.u.



Cd2SiBi: relaxed, GGA-PBE.

Unit cell a=4.3042 b=4.3042 c=11.2980 alpha=79.02 beta=79.02 gamma=90.00
Last column: nearest neighbours and their distance in Å.
Element x y z (fractional)
Cd  0.1438  0.6250  0.2500  4 Cd 2.93-3.16, 2 Si 3.09, 2 Bi 3.15
Cd  0.8750  0.8562  0.7500  4 Cd 2.93-3.16, 2 Si 3.09, 2 Bi 3.15
Cd  0.6062  0.1250  0.2500  4 Cd 2.93-3.16, 2 Si 3.09, 2 Bi 3.15
Cd  0.3750  0.3938  0.7500  4 Cd 2.93-3.16, 2 Si 3.09, 2 Bi 3.15
Si  0.2500  0.7500  0.5000  4 Bi 3.04, 4 Cd 3.09
Si  0.5000  0.5000  0.0000  4 Bi 3.04, 4 Cd 3.09
Bi  0.0000  0.0000  0.0000  4 Si 3.04, 4 Cd 3.15
Bi  0.7500  0.2500  0.5000  4 Si 3.04, 4 Cd 3.15

ΔE to the lowest computed polymorph   0 meV per atom
Uncorrected energy   -2.470 eV/atom
Formation energy (no corrections)   1.25 eV/f.u.
Crystal system   tetragonal
Space group   I-42d, No. 122
Spin magnetization   0.00 μB/f.u.



Cd3SiBi: relaxed, GGA-PBE.

Unit cell a=5.8022 b=5.8022 c=5.8022 alpha=90.00 beta=90.00 gamma=90.00
Last column: nearest neighbours and their distance in Å.
Element x y z (fractional)
Si  0.5000  0.5000  0.5000  12 Cd 4.10
Cd  0.0000  0.5000  0.0000  2 Bi 2.90
Cd  0.5000  0.0000  0.0000  2 Bi 2.90
Cd  0.0000  0.0000  0.5000  2 Bi 2.90
Bi  0.0000  0.0000  0.0000  6 Cd 2.90

ΔE to the lowest computed polymorph   522 meV per atom
Uncorrected energy   -1.488 eV/atom
Formation energy (no corrections)   4.61 eV/f.u.
Crystal system   cubic
Space group   Pm-3m, No. 221
Spin magnetization   2.01 μB/f.u.



CdSi2Bi2: relaxed, GGA-PBE.

Unit cell a=4.3573 b=4.3573 c=8.0797 alpha=74.36 beta=74.36 gamma=90.00
Last column: nearest neighbours and their distance in Å.
Element x y z (fractional)
Bi  0.3760  0.3760  0.2480  4 Si 2.88
Bi  0.6240  0.6240  0.7520  4 Si 2.88
Cd  0.0000  0.0000  0.0000  8 Bi 3.59
Si  0.7500  0.2500  0.5000  4 Bi 2.88, 4 Si 3.08
Si  0.2500  0.7500  0.5000  4 Bi 2.88, 4 Si 3.08

ΔE to the lowest computed polymorph   24 meV per atom
Uncorrected energy   -3.457 eV/atom
Formation energy (no corrections)   2.24 eV/f.u.
Crystal system   tetragonal
Space group   I4/mmm, No. 139
Spin magnetization   0.00 μB/f.u.



CdSi2Bi2: relaxed, GGA-PBE.

Unit cell a=8.4385 b=8.4385 c=3.7153 alpha=90.00 beta=90.00 gamma=90.00
Last column: nearest neighbours and their distance in Å.
Element x y z (fractional)
Si  0.3985  0.1015  0.5000  1 Si 2.42
Si  0.1015  0.6015  0.5000  1 Si 2.42
Si  0.8985  0.3985  0.5000  1 Si 2.42
Si  0.6015  0.8985  0.5000  1 Si 2.42
Cd  0.5000  0.5000  0.0000  4 Bi 3.11
Cd  0.0000  0.0000  0.0000  4 Bi 3.11
Bi  0.6778  0.1778  0.0000  6 Si 3.07-3.22, 2 Cd 3.11
Bi  0.3222  0.8222  0.0000  6 Si 3.07-3.22, 2 Cd 3.11
Bi  0.8222  0.6778  0.0000  6 Si 3.07-3.22, 2 Cd 3.11
Bi  0.1778  0.3222  0.0000  6 Si 3.07-3.22, 2 Cd 3.11

ΔE to the lowest computed polymorph   60 meV per atom
Uncorrected energy   -3.420 eV/atom
Formation energy (no corrections)   2.42 eV/f.u.
Crystal system   tetragonal
Space group   P4/mbm, No. 127
Spin magnetization   0.00 μB/f.u.



Sm4CdBi: relaxed, GGA-PBE.

Unit cell a=8.5990 b=6.6320 c=6.6056 alpha=90.00 beta=90.00 gamma=89.98
Last column: nearest neighbours and their distance in Å.
Element x y z (fractional)
Bi  0.7159  0.9999  0.7500  9 Sm 3.22-3.39
Bi  0.2841  0.0001  0.2500  9 Sm 3.22-3.39
Sm  0.3420  0.9998  0.7500  3 Bi 3.22-3.34, 2 Cd 3.37
Sm  0.6580  0.0002  0.2500  3 Bi 3.22-3.34, 2 Cd 3.37
Sm  0.6400  0.4999  0.7500  3 Cd 3.16-3.39, 2 Bi 3.38
Sm  0.9998  0.2512  0.4999  4 Sm 3.30-3.33, 2 Cd 3.30-3.31, 2 Bi 3.39
Sm  0.0002  0.7488  0.5001  4 Sm 3.30-3.33, 2 Cd 3.30-3.31, 2 Bi 3.39
Sm  0.0002  0.7488  0.9999  4 Sm 3.30-3.33, 2 Cd 3.30-3.31, 2 Bi 3.39
Sm  0.3600  0.5001  0.2500  3 Cd 3.16-3.39, 2 Bi 3.38
Sm  0.9998  0.2512  0.0001  4 Sm 3.30-3.33, 2 Cd 3.30-3.31, 2 Bi 3.39
Cd  0.2720  0.4997  0.7500  9 Sm 3.16-3.39
Cd  0.7280  0.5003  0.2500  9 Sm 3.16-3.39

Uncorrected energy   -4.307 eV/atom
E_form   -362 meV per atom
Crystal system   orthorhombic
Space group   Pmma, No. 51
Spin magnetization   0.00 μB/f.u.



Sm6Cd2Bi: relaxed, GGA-PBE.

Unit cell a=9.1049 b=9.1049 c=9.1049 alpha=98.11 beta=114.31 gamma=116.57
Last column: nearest neighbours and their distance in Å.
Element x y z (fractional)
Sm  0.2011  0.2273  0.4283  2 Cd 3.11-3.43, 1 Bi 3.36
Sm  0.0932  0.2934  0.7997  3 Cd 3.18-3.20, 2 Bi 3.44-3.56
Sm  0.9068  0.7066  0.2003  3 Cd 3.18-3.20, 2 Bi 3.44-3.56
Sm  0.7989  0.7727  0.5717  2 Cd 3.11-3.43, 1 Bi 3.36
Sm  0.7154  0.3936  0.6782  3 Cd 3.11-3.29, 1 Bi 3.46
Sm  0.7154  0.0372  0.3218  3 Cd 3.11-3.29, 1 Bi 3.46
Sm  0.7989  0.2273  0.0262  2 Cd 3.11-3.43, 1 Bi 3.36
Sm  0.2846  0.6064  0.3218  3 Cd 3.11-3.29, 1 Bi 3.46
Sm  0.2011  0.7727  0.9738  2 Cd 3.11-3.43, 1 Bi 3.36
Sm  0.4937  0.2934  0.2003  3 Cd 3.18-3.20, 2 Bi 3.44-3.56
Sm  0.2846  0.9628  0.6782  3 Cd 3.11-3.29, 1 Bi 3.46
Sm  0.5063  0.7066  0.7997  3 Cd 3.18-3.20, 2 Bi 3.44-3.56
Cd  0.6438  0.0000  0.6438  1 Cd 2.84, 2 Sm 3.11
Cd  0.5000  0.6268  0.1268  1 Cd 3.03, 6 Sm 3.11-3.18
Cd  0.3562  0.0000  0.3562  1 Cd 2.84, 2 Sm 3.11
Cd  0.5000  0.3732  0.8732  1 Cd 3.03, 6 Sm 3.11-3.18
Bi  0.0000  0.5000  0.5000  12 Sm 3.46-3.81
Bi  0.0000  0.0000  0.0000  8 Sm 3.36-3.44, 2 Cd 3.52

Uncorrected energy   -4.011 eV/atom
E_form   -230 meV per atom
Crystal system   orthorhombic
Space group   Immm, No. 71
Spin magnetization   0.00 μB/f.u.



Sm2CdBi: relaxed, GGA-PBE.

Unit cell a=4.0781 b=4.0781 c=6.9829 alpha=90.00 beta=90.00 gamma=90.00
Last column: nearest neighbours and their distance in Å.
Element x y z (fractional)
Sm  0.0000  0.0000  0.2492  4 Bi 3.37, 4 Cd 3.37, 2 Sm 3.48-3.50
Sm  0.0000  0.0000  0.7508  4 Bi 3.37, 4 Cd 3.37, 2 Sm 3.48-3.50
Cd  0.5000  0.5000  0.5000  8 Sm 3.37, 2 Bi 3.49
Bi  0.5000  0.5000  0.0000  8 Sm 3.37, 2 Cd 3.49

ΔE to the lowest computed polymorph   0 meV per atom
Uncorrected energy   -4.098 eV/atom
E_form   -539 meV per atom
Crystal system   tetragonal
Space group   P4/mmm, No. 123
Spin magnetization   0.71 μB/f.u.



Sm2CdBi: relaxed, GGA-PBE.

Unit cell a=5.4719 b=5.4719 c=5.4719 alpha=60.00 beta=60.00 gamma=60.00
Last column: nearest neighbours and their distance in Å.
Element x y z (fractional)
Sm  0.7500  0.7500  0.7500  4 Bi 3.35, 4 Cd 3.35
Sm  0.2500  0.2500  0.2500  4 Cd 3.35, 4 Bi 3.35
Bi  0.0000  0.0000  0.0000  8 Sm 3.35
Cd  0.5000  0.5000  0.5000  8 Sm 3.35

ΔE to the lowest computed polymorph   70 meV per atom
Uncorrected energy   -4.028 eV/atom
E_form   -469 meV per atom
Crystal system   cubic
Space group   Fm-3m, No. 225
Spin magnetization   0.00 μB/f.u.



Sm4CdBi2: relaxed, GGA-PBE.

Unit cell a=6.3128 b=6.7656 c=10.5734 alpha=90.00 beta=104.50 gamma=90.00
Last column: nearest neighbours and their distance in Å.
Element x y z (fractional)
Bi  0.7008  0.7500  0.5489  7 Sm 3.14-3.41
Bi  0.2992  0.2500  0.4511  7 Sm 3.14-3.41
Bi  0.6304  0.7500  0.0056  1 Cd 2.91, 2 Sm 3.23
Bi  0.3696  0.2500  0.9944  1 Cd 2.91, 2 Sm 3.23
Sm  0.4723  0.0109  0.7428  1 Cd 3.22, 4 Bi 3.23-3.41, 3 Sm 3.24-3.59
Sm  0.9489  0.2500  0.1488  3 Cd 3.37-3.47, 3 Bi 3.40-3.61, 2 Sm 3.61
Sm  0.4723  0.4891  0.7428  1 Cd 3.22, 4 Bi 3.23-3.41, 3 Sm 3.24-3.59
Sm  0.5277  0.5109  0.2572  1 Cd 3.22, 4 Bi 3.23-3.41, 3 Sm 3.24-3.59
Sm  0.8549  0.2500  0.5332  1 Cd 3.03, 1 Bi 3.14
Sm  0.0511  0.7500  0.8512  3 Cd 3.37-3.47, 3 Bi 3.40-3.61, 2 Sm 3.61
Sm  0.1451  0.7500  0.4668  1 Cd 3.03, 1 Bi 3.14
Sm  0.5277  0.9891  0.2572  1 Cd 3.22, 4 Bi 3.23-3.41, 3 Sm 3.24-3.59
Cd  0.0730  0.7500  0.1728  1 Bi 2.91, 3 Sm 3.03-3.22
Cd  0.9270  0.2500  0.8272  1 Bi 2.91, 3 Sm 3.03-3.22

Uncorrected energy   -4.366 eV/atom
E_form   -430 meV per atom
Crystal system   monoclinic
Space group   P2_1/m, No. 11
Spin magnetization   0.00 μB/f.u.